Entry 1:
The following is a DFT calculation (PBE-GGA) of Sm3Ge4Au7 after structural relaxation.

The crystal system is monoclinic.

The structure belongs to space group C2/m (No. 12); the cell edges are 16.3361, 4.4440 and 9.7561 Å and the angles 90.00°, 125.95° and 90.00°. The asymmetric unit holds Sm at (0.0000, 0.0000, 0.0000), Sm at (0.1899, 0.5000, 0.6899), Ge at (0.1267, 0.0000, 0.8454), Ge at (0.1640, 0.5000, 0.2824), Au at (0.0000, 0.0000, 0.5000), Au at (0.0076, 0.5000, 0.3046), Au at (0.1506, 0.0000, 0.4136) and Au at (0.1730, 0.5000, 0.0293).

Entry 2:
The following is a DFT calculation (PBE-GGA) of Sm3GeAu after structural relaxation.

The crystal system is triclinic.

The structure belongs to space group P-1 (No. 2); the cell edges are 5.9995, 6.0569 and 7.8850 Å and the angles 81.67°, 76.31° and 77.57°. The asymmetric unit holds Sm at (0.0802, 0.2162, 0.0661), Sm at (0.2103, 0.1887, 0.5326), Sm at (0.3897, 0.6531, 0.1998), Ge at (0.4322, 0.8759, 0.8230) and Au at (0.2595, 0.6585, 0.5949).

Entry 3:
The following is a DFT calculation (PBE-GGA) of Sm2Ge5Au3 after structural relaxation.

The crystal system is orthorhombic.

The structure belongs to space group Ibam (No. 72); the cell edges are 10.4198, 12.6129 and 6.4388 Å and the angles 90.00°, 90.00° and 90.00°. The asymmetric unit holds Sm at (0.2417, 0.1171, 0.0000), Ge at (0.0000, 0.0000, 0.2500), Ge at (0.0000, 0.2600, 0.2500), Ge at (0.1366, 0.3799, 0.0000), Au at (0.0000, 0.5000, 0.2500) and Au at (0.1270, 0.1349, 0.5000).

Entry 4:
The following is a DFT calculation (PBE-GGA) of Sm2Ge3Au after structural relaxation.

The crystal system is orthorhombic.

The structure belongs to space group Fmmm (No. 69); the cell edges are 8.3505, 8.6145 and 14.8782 Å and the angles 90.00°, 90.00° and 90.00°. The asymmetric unit holds Sm at (0.2434, 0.0000, 0.0000), Sm at (0.2500, 0.2500, 0.2500), Ge at (0.0000, 0.0000, 0.1648), Ge at (0.0000, 0.2492, 0.4172) and Au at (0.0000, 0.0000, 0.3328).

Entry 5:
The following is a DFT calculation (PBE-GGA) of Sm7Ge2Au2 after structural relaxation.

The crystal system is orthorhombic.

The structure belongs to space group Cmmm (No. 65); the cell edges are 7.9804, 10.9194 and 7.3809 Å and the angles 90.00°, 90.00° and 90.00°. The asymmetric unit holds Sm at (0.0000, 0.0000, 0.0000), Sm at (0.0000, 0.5000, 0.2626), Sm at (0.2500, 0.2500, 0.2779), Ge at (0.0000, 0.2903, 0.0000) and Au at (0.1823, 0.0000, 0.5000).

Entry 6:
The following is a DFT calculation (PBE-GGA) of Sm2Ge7Au12 after structural relaxation.

The crystal system is trigonal.

The structure belongs to space group P-3 (No. 147); the cell edges are 10.1933, 10.1933 and 4.6979 Å and the angles 90.00°, 90.00° and 120.00°. The asymmetric unit holds Sm at (0.3333, 0.6667, 0.2257), Ge at (0.0000, 0.0000, 0.5000), Ge at (0.1135, 0.7258, 0.6642), Au at (0.0709, 0.4635, 0.7735) and Au at (0.1276, 0.2686, 0.1757).

Entry 7:
The following is a DFT calculation (PBE-GGA) of SmGe2Au6 after structural relaxation.

The crystal system is tetragonal.

The structure belongs to space group P4/mmm (No. 123); the cell edges are 4.4735, 4.4735 and 8.8472 Å and the angles 90.00°, 90.00° and 90.00°. The asymmetric unit holds Sm at (0.0000, 0.0000, 0.0000), Ge at (0.5000, 0.5000, 0.1383), Au at (0.0000, 0.0000, 0.5000), Au at (0.0000, 0.5000, 0.2821) and Au at (0.5000, 0.5000, 0.5000).

Entry 8:
The following is a DFT calculation (PBE-GGA) of Sm4GeAu3 after structural relaxation.

The crystal system is orthorhombic.

The structure belongs to space group Pmm2 (No. 25); the cell edges are 3.9896, 4.5900 and 11.1725 Å and the angles 90.00°, 90.00° and 90.00°. The asymmetric unit holds Sm at (0.0000, 0.0000, 0.0000), Sm at (0.0000, 0.5000, 0.2743), Sm at (0.5000, 0.0000, 0.4961), Sm at (0.5000, 0.5000, 0.7750), Ge at (0.5000, 0.0000, 0.2250), Au at (0.0000, 0.0000, 0.7244), Au at (0.0000, 0.5000, 0.5514) and Au at (0.5000, 0.5000, 0.0510).

Entry 9:
The following is a DFT calculation (PBE-GGA) of SmGe3Au3 after structural relaxation.

The crystal system is cubic.

The structure belongs to space group Pm-3n (No. 223); the cell edges are 7.0523, 7.0523 and 7.0523 Å and the angles 90.00°, 90.00° and 90.00°. The asymmetric unit holds Sm at (0.0000, 0.0000, 0.0000), Ge at (0.0000, 0.2500, 0.5000) and Au at (0.0000, 0.5000, 0.2500).

Entry 10:
The following is a DFT calculation (PBE-GGA) of Sm2Ge3Au2 after structural relaxation.

The crystal system is orthorhombic.

The structure belongs to space group Cmcm (No. 63); the cell edges are 4.4499, 18.9561 and 7.1206 Å and the angles 90.00°, 90.00° and 90.00°. The asymmetric unit holds Sm at (0.0000, 0.0508, 0.2500), Sm at (0.0000, 0.1536, 0.7500), Ge at (0.0000, 0.2213, 0.2500), Ge at (0.0000, 0.4402, 0.0696) and Au at (0.0000, 0.3114, 0.5494).

Going through the records in order, we get uncorrected energy values of -63.721, -25.254, -46.471, -30.849, -53.207, -85.696, -36.109, -39.797, -28.389, -34.524 eV per formula unit.
Going through the records in order, we get N(E_F) values of 0.41, 1.15, 0.31, 0.33, 1.17, 0.40, 0.40, 0.91, 0.45, 0.29 states/eV/atom.
Going through the records in order, we get energy relative to the elements values of -0.58, -0.64, -0.41, -0.71, -0.40, -0.22, -0.28, -0.81, 0.00, -0.67 eV per atom.